First-principles (GGA-PBE) data for a relaxed structure of LiZn2In, as listed in the Alexandria database. Values from VASP.

Properties
Calculated formation energy (kJ/mol of formula units): -8

Structure (Quantum ESPRESSO input):
```
&SYSTEM
  ibrav = 0, nat = 4, ntyp = 3
/
ATOMIC_SPECIES
In 114.82 In.upf
Li 6.94 Li.upf
Zn 65.41 Zn.upf
CELL_PARAMETERS angstrom
2.942 -0.008 0.000
0.007 2.942 0.000
0.000 0.000 8.527
ATOMIC_POSITIONS crystal
In 0.500 0.500 0.250
Li 0.500 0.500 0.750
Zn 0.000 0.000 0.974
Zn 0.000 0.000 0.526
```

First-principles (GGA-PBE) data for a relaxed structure of Li4Zn4In3, as listed in the Alexandria database. Values from VASP.

Properties
Calculated formation energy (kJ/mol of formula units): -171

Structure (Quantum ESPRESSO input):
```
&SYSTEM
  ibrav = 0, nat = 11, ntyp = 3
/
ATOMIC_SPECIES
Li 6.94 Li.upf
Zn 65.41 Zn.upf
In 114.82 In.upf
CELL_PARAMETERS angstrom
-0.540 -2.978 -0.369
2.887 -0.884 3.105
-9.636 -0.256 11.848
ATOMIC_POSITIONS crystal
Li 0.534 0.546 0.906
Li 0.465 0.454 0.094
Li 0.026 0.806 0.385
Li 0.975 0.194 0.615
Zn 0.010 0.093 0.814
Zn 0.510 0.270 0.459
Zn 0.490 0.730 0.541
Zn 0.989 0.907 0.186
In 0.467 0.639 0.722
In 0.535 0.361 0.278
In 0.000 0.000 0.000
```

First-principles (GGA-PBE) data for a relaxed structure of Li12ZnIn3, as listed in the Alexandria database. Values from VASP.

Properties
Calculated formation energy (kJ/mol of formula units): -262

Structure (Quantum ESPRESSO input):
```
&SYSTEM
  ibrav = 0, nat = 16, ntyp = 3
/
ATOMIC_SPECIES
Li 6.94 Li.upf
Zn 65.41 Zn.upf
In 114.82 In.upf
CELL_PARAMETERS angstrom
4.131 0.000 0.000
0.000 4.131 0.000
0.000 0.000 17.175
ATOMIC_POSITIONS crystal
Li 0.500 0.500 0.000
Li 0.500 0.500 0.241
Li 0.500 0.500 0.500
Li 0.500 0.500 0.759
Li 0.500 0.000 0.115
Li 0.500 0.000 0.370
Li 0.500 0.000 0.630
Li 0.500 0.000 0.885
Li 0.000 0.500 0.115
Li 0.000 0.500 0.370
Li 0.000 0.500 0.630
Li 0.000 0.500 0.885
Zn 0.000 0.000 0.000
In 0.000 0.000 0.242
In 0.000 0.000 0.500
In 0.000 0.000 0.758
```

First-principles (GGA-PBE) data for a relaxed structure of Li2ZnIn2, as listed in the Alexandria database. Values from VASP.

Properties
Calculated formation energy (kJ/mol of formula units): -14
Energy above the most stable polymorph in this dataset (meV per atom): 127

Structure (Quantum ESPRESSO input):
```
&SYSTEM
  ibrav = 0, nat = 5, ntyp = 3
/
ATOMIC_SPECIES
Zn 65.41 Zn.upf
Li 6.94 Li.upf
In 114.82 In.upf
CELL_PARAMETERS angstrom
-3.737 0.809 -0.229
-0.359 -2.480 -2.898
-3.462 -6.055 3.078
ATOMIC_POSITIONS crystal
Zn 0.000 0.000 0.000
Li 0.750 0.250 0.500
Li 0.250 0.750 0.500
In 0.400 0.400 0.200
In 0.600 0.600 0.800
```

| no. | density of states at the Fermi level (states/eV per atom) |
| --- | --- |
| 1 | 0.216 |
| 2 | 0.292 |
| 3 | 0.427 |
| 4 | 0.246 |